(1)
VASP calculation (GGA-PBE) on an optimized crystal structure of Tb2Ce3SmAs6.

Cell and atoms, written as extended XYZ:
```
12
Lattice="3.6297 -6.2866 0.0000 3.6297 6.2866 0.0000 -2.4210 0.0000 6.8354" Properties=species:S:1:pos:R:3 pbc="T T T"
Tb 3.6297 4.1886 0.0000
Tb 3.6297 -4.1886 0.0000
Ce -1.2105 0.0000 3.4177
Ce 2.4192 2.0874 3.4177
Ce 2.4192 -2.0874 3.4177
Sm 3.6297 0.0000 0.0000
As -0.0107 2.1119 5.1336
As 1.1900 0.0000 1.6974
As -0.0107 -2.1119 5.1336
As 4.8490 2.1119 1.7018
As 3.6484 0.0000 5.1380
As 4.8490 -2.1119 1.7018
```

Results
Final energy = -6.46 eV per atom
DFT formation energy = -1.4841 eV/atom
Fermi-level density of states = 1.42 states/eV per atom


(2)
VASP calculation (GGA-PBE) on an optimized crystal structure of Tb4DyMg2.

Cell and atoms, written as extended XYZ:
```
7
Lattice="2.7270 1.5744 8.0557 -2.7270 1.5744 8.0557 0.0000 -3.1489 8.0557" Properties=species:S:1:pos:R:3 pbc="T T T"
Tb 0.0000 0.0000 1.6353
Tb 0.0000 0.0000 4.9971
Tb 0.0000 0.0000 19.1700
Tb 0.0000 0.0000 22.5318
Dy 0.0000 0.0000 12.0836
Mg 0.0000 0.0000 8.4805
Mg 0.0000 0.0000 15.6867
```

Results
Final energy = -3.69 eV per atom
Energy above the most stable polymorph in this dataset = 0.088 eV per atom
DFT formation energy = 0.0661 eV/atom
Fermi-level density of states = 1.37 states/eV per atom


(3)
VASP calculation (GGA-PBE) on an optimized crystal structure of HfBe2AlAs.

Cell and atoms, written as extended XYZ:
```
5
Lattice="4.1677 0.0000 0.0000 0.0000 4.1677 0.0000 0.0000 0.0000 5.3381" Properties=species:S:1:pos:R:3 pbc="T T T"
Hf 0.0000 0.0000 0.0000
Be 0.0000 2.0838 2.6690
Be 2.0838 0.0000 2.6690
Al 0.0000 0.0000 2.6690
As 2.0838 2.0838 0.0000
```

Results
Final energy = -4.47 eV per atom
DFT formation energy = 0.6937 eV/atom
Fermi-level density of states = 0.32 states/eV per atom


(4)
VASP calculation (GGA-PBE) on an optimized crystal structure of SrAg3Cl.

Cell and atoms, written as extended XYZ:
```
5
Lattice="5.2523 0.0000 0.0000 0.0000 5.2523 0.0000 0.0000 0.0000 5.2523" Properties=species:S:1:pos:R:3 pbc="T T T"
Sr 0.0000 0.0000 0.0000
Ag 0.0000 2.6262 2.6262
Ag 2.6262 0.0000 2.6262
Ag 2.6262 2.6262 0.0000
Cl 2.6262 2.6262 2.6262
```

Results
Final energy = -2.16 eV per atom
Energy above the most stable polymorph in this dataset = 0.000 eV per atom
Fermi-level density of states = 0.58 states/eV per atom


(5)
VASP calculation (GGA-PBE) on an optimized crystal structure of BaPtSe2.

Cell and atoms, written as extended XYZ:
```
4
Lattice="2.8791 1.6623 5.1986 -2.8791 1.6623 5.1986 0.0000 -3.3245 5.1986" Properties=species:S:1:pos:R:3 pbc="T T T"
Ba 0.0000 0.0000 0.0000
Pt 0.0000 0.0000 7.7979
Se 0.0000 0.0000 5.4865
Se 0.0000 0.0000 10.1092
```

Results
Final energy = -4.42 eV per atom
Energy above the most stable polymorph in this dataset = 0.383 eV per atom
Fermi-level density of states = 0.53 states/eV per atom


(6)
VASP calculation (GGA-PBE) on an optimized crystal structure of K4Sm3SnS8.

Cell and atoms, written as extended XYZ:
```
16
Lattice="4.1255 2.3818 7.3765 -4.1255 2.3818 7.3765 0.0000 -4.7637 7.3765" Properties=species:S:1:pos:R:3 pbc="T T T"
K 0.0000 0.0000 0.0000
K -2.0627 -1.1909 7.3765
K -2.0627 1.1909 14.7529
K 0.0000 2.3818 7.3764
Sm -4.1255 0.0000 11.0647
Sm -2.0627 1.1909 3.6882
Sm 2.0627 1.1909 3.6882
Sn 0.0000 0.0000 11.0647
S 0.0000 0.0000 5.2111
S -2.0341 -1.1744 12.5627
S 0.0000 -2.3488 9.5667
S -2.0341 1.1744 9.5667
S 2.0341 -1.1744 12.5627
S 0.0000 2.3488 12.5627
S 2.0341 1.1744 9.5667
S 0.0000 0.0000 16.9183
```

Results
Final energy = -5.05 eV per atom
Fermi-level density of states = 0.10 states/eV per atom


(7)
VASP calculation (GGA-PBE) on an optimized crystal structure of NaTi2S4.

Cell and atoms, written as extended XYZ:
```
7
Lattice="5.9269 0.0000 0.0000 0.0000 3.4644 0.0000 -2.0372 0.0000 6.9918" Properties=species:S:1:pos:R:3 pbc="T T T"
Na 0.0000 0.0000 0.0000
Ti -1.0186 1.7322 3.4959
Ti 1.9448 0.0000 3.4959
S -0.0283 0.0000 4.9251
S 0.9726 1.7322 2.0516
S 2.9171 1.7322 4.9402
S 3.9180 0.0000 2.0667
```

Results
Final energy = -6.17 eV per atom
Energy above the most stable polymorph in this dataset = 0.000 eV per atom
Fermi-level density of states = 0.48 states/eV per atom


(8)
VASP calculation (GGA-PBE) on an optimized crystal structure of CaTb3Ru2.

Cell and atoms, written as extended XYZ:
```
6
Lattice="3.4443 0.0000 0.0000 0.0000 3.4443 0.0000 0.0000 0.0000 12.8763" Properties=species:S:1:pos:R:3 pbc="T T T"
Ca 0.0000 0.0000 0.0000
Tb 1.7221 1.7221 3.0792
Tb 1.7221 1.7221 6.4381
Tb 1.7221 1.7221 9.7971
Ru 0.0000 0.0000 4.6396
Ru 0.0000 0.0000 8.2366
```

Results
Final energy = -5.99 eV per atom
Energy above the most stable polymorph in this dataset = 0.000 eV per atom
DFT formation energy = -0.2479 eV/atom
Fermi-level density of states = 0.77 states/eV per atom